Compound: NbZnNi2F
Source: Alexandria via LeMat-Bulk
Functional: GGA+U
Structure: optimized geometry

- density of states at the Fermi level (states/eV per cell) = 2.5
- energy (eV/atom) = -3.031
- space group = P4/mmm (123)

a = 3.975 Å, b = 4.260 Å, c = 3.975 Å
α = 90.00°, β = 90.00°, γ = 90.00°
Positions (direct):
Ni 0.000 0.000 0.500
Ni 0.500 0.000 0.000
Nb 0.000 0.500 0.000
Zn 0.500 0.500 0.500
F 0.000 0.000 0.000